Record 1
# GGA-PBEsol Ba2Cu2O5, optimized geometry
data_Ba2Cu2O5
_chemical_formula_sum 'Ba8 Cu8 O20'
_symmetry_space_group_name_H-M 'P n a 21'
_symmetry_Int_Tables_number 33
_symmetry_space_group_name_Hall 'P 2c -2n'
_cell_length_a 10.642
_cell_length_b 4.105
_cell_length_c 13.864
_cell_angle_alpha 90.00
_cell_angle_beta 90.00
_cell_angle_gamma 90.00
loop_
_atom_site_label
_atom_site_type_symbol
_atom_site_fract_x
_atom_site_fract_y
_atom_site_fract_z
_atom_site_occupancy
Ba1 Ba 0.044 0.183 0.000 1
Ba2 Ba 0.209 0.173 0.322 1
Cu1 Cu 0.012 0.337 0.708 1
Cu2 Cu 0.235 0.161 0.618 1
O1 O 0.045 0.671 0.331 1
O2 O 0.082 0.326 0.586 1
O3 O 0.125 0.447 0.162 1
O4 O 0.165 0.164 0.741 1
O5 O 0.207 0.679 0.995 1
# uncorrected formation energy = -1.538 eV/atom
# VASP energy = -212.21 eV/cell
# volume = 16.83 A^3/atom

Record 2
# GGA-PBEsol BaTeO2, optimized geometry
data_BaTeO2
_chemical_formula_sum 'Ba3 Te3 O6'
_symmetry_space_group_name_H-M 'R -3 m'
_symmetry_Int_Tables_number 166
_symmetry_space_group_name_Hall '-R 3 2"'
_cell_length_a 3.9430
_cell_length_b 3.9430
_cell_length_c 20.4870
_cell_angle_alpha 90.00
_cell_angle_beta 90.00
_cell_angle_gamma 120.00
loop_
_atom_site_label
_atom_site_type_symbol
_atom_site_fract_x
_atom_site_fract_y
_atom_site_fract_z
_atom_site_occupancy
Ba1 Ba 0.0000 0.0000 0.0000 1
Te1 Te 0.0000 0.0000 0.5000 1
O1 O 0.0000 0.0000 0.4000 1
# energy above the lowest structure with this stoichiometry = 0 meV per atom
# uncorrected formation energy = -1.544 eV/atom
# VASP energy = -67.05 eV/cell
# volume = 22.99 A^3/atom

Record 3
# GGA-PBEsol TaSe2Br, optimized geometry
data_TaSe2Br
_chemical_formula_sum 'Ta1 Se2 Br1'
_symmetry_space_group_name_H-M 'P 1 m 1'
_symmetry_Int_Tables_number 6
_symmetry_space_group_name_Hall 'P -2y'
_cell_length_a 6.023
_cell_length_b 3.427
_cell_length_c 6.217
_cell_angle_alpha 90.00
_cell_angle_beta 118.96
_cell_angle_gamma 90.00
loop_
_atom_site_label
_atom_site_type_symbol
_atom_site_fract_x
_atom_site_fract_y
_atom_site_fract_z
_atom_site_occupancy
Ta1 Ta 0.000 0.000 0.000 1
Se1 Se 0.260 0.500 0.937 1
Se2 Se 0.609 0.000 0.653 1
Br1 Br 0.939 0.500 0.286 1
# energy above the lowest structure with this stoichiometry = 62 meV per atom
# uncorrected formation energy = -0.538 eV/atom
# VASP energy = -24.28 eV/cell
# volume = 28.07 A^3/atom

| no. | total magnetization (μB per formula unit) |
| --- | --- |
| 1 | 0.00 |
| 2 | 0.00 |
| 3 | 0.00 |